(1)
First-principles (PBE-GGA) data for CrCoRh2 after structural relaxation, as listed in the Alexandria database.

Summary:
E_tot = -7.884 eV per atom
size of the total moment = 0.78 μB per formula unit
crystal system = orthorhombic

POSCAR file:
```
CrCoRh2
1.0
2.684 0.000 0.000
0.000 3.597 0.000
0.000 0.000 5.363
Cr Co Rh
1 1 2
Direct
0.000 0.000 0.000
0.000 0.000 0.500
0.500 0.500 0.251
0.500 0.500 0.749
```

(2)
First-principles (PBE-GGA) data for Sm5TcBi2 after structural relaxation, as listed in the Alexandria database.

Summary:
E_tot = -5.308 eV per atom
size of the total moment = 0.00 μB per formula unit
crystal system = orthorhombic

POSCAR file:
```
Sm5TcBi2
1.0
2.862 -8.270 0.000
2.862 8.270 0.000
0.000 0.000 13.703
Sm Tc Bi
10 2 4
Direct
0.055 0.945 0.613
0.055 0.945 0.887
0.277 0.723 0.595
0.277 0.723 0.905
0.301 0.699 0.250
0.699 0.301 0.750
0.723 0.277 0.095
0.723 0.277 0.405
0.945 0.055 0.113
0.945 0.055 0.387
0.166 0.834 0.750
0.834 0.166 0.250
0.143 0.857 0.095
0.143 0.857 0.405
0.857 0.143 0.595
0.857 0.143 0.905
```

(3)
First-principles (PBE-GGA) data for Ac2GeRh6Pb after structural relaxation, as listed in the Alexandria database.

Summary:
E_tot = -6.507 eV per atom
size of the total moment = 0.00 μB per formula unit
crystal system = triclinic

POSCAR file:
```
Ac2GeRh6Pb
1.0
5.703 0.000 0.000
2.710 5.954 0.000
2.832 -0.073 6.282
Ac Ge Rh Pb
2 1 6 1
Direct
0.243 0.208 0.283
0.757 0.792 0.717
0.000 0.000 0.000
0.200 0.577 0.930
0.262 0.215 0.741
0.276 0.745 0.213
0.724 0.255 0.787
0.738 0.785 0.259
0.800 0.423 0.070
0.500 0.500 0.500
```

(4)
First-principles (PBE-GGA) data for SbHCl2 after structural relaxation, as listed in the Alexandria database.

Summary:
energy relative to the lowest polymorph listed for this composition = 44.2 kJ per mole of atoms
E_tot = -2.523 eV per atom
size of the total moment = 0.00 μB per formula unit
crystal system = tetragonal

POSCAR file:
```
SbHCl2
1.0
-2.879 2.879 4.748
2.879 -2.879 4.748
2.879 2.879 -4.748
Sb H Cl
2 2 4
Direct
0.000 0.000 0.000
0.750 0.250 0.500
0.250 0.750 0.500
0.500 0.500 0.000
0.272 0.625 0.147
0.375 0.522 0.647
0.478 0.125 0.853
0.875 0.728 0.353
```

Q: Which of these has the highest E_tot?
A: SbHCl2